# PBE Ce2MgHg, optimized geometry
# DFT total energy (eV/cell): -14.437
# Energy of formation from the pure elements (meV per atom): -168.1
# Crystal system: tetragonal
# Total magnetization (Bohr magnetons per cell): 0.71
# E above lowest polymorph (meV/atom): 35
data_Ce2MgHg
_chemical_formula_sum 'Ce2 Mg1 Hg1'
_cell_length_a 4.390
_cell_length_b 4.390
_cell_length_c 5.092
_cell_angle_alpha 90.00
_cell_angle_beta 90.00
_cell_angle_gamma 90.00
_symmetry_space_group_name_H-M 'P 4/m m m'
_symmetry_Int_Tables_number 123
_symmetry_space_group_name_Hall '-P 4 2'
loop_
_atom_site_label
_atom_site_type_symbol
_atom_site_fract_x
_atom_site_fract_y
_atom_site_fract_z
Ce1 Ce 0.000 0.500 0.000
Mg1 Mg 0.000 0.000 0.500
Hg1 Hg 0.500 0.500 0.500